Model w:
An optimized crystal structure of LiZnPd6, computed with PBE.

Cell: 4.654 4.654 7.087 Å, 73.41 73.41 68.89°
Fractional positions:
1 Pd 0.057 0.544 0.303
2 Pd 0.456 0.943 0.697
3 Pd 0.943 0.456 0.697
4 Pd 0.642 0.642 0.069
5 Pd 0.544 0.057 0.303
6 Li 0.500 0.500 0.500
7 Zn 0.000 0.000 0.000
8 Pd 0.358 0.358 0.931

**Space group**: C2/m



Model x:
An optimized crystal structure of LiZnPd6, computed with PBE.

Cell: 3.902 4.788 7.293 Å, 77.27 74.48 65.95°
Fractional positions:
1 Pd 0.501 0.247 0.751
2 Pd 0.749 0.126 0.376
3 Pd 0.249 0.376 0.126
4 Pd 0.499 0.753 0.249
5 Pd 0.251 0.874 0.624
6 Li 0.000 0.500 0.500
7 Pd 0.751 0.624 0.874
8 Zn 0.000 0.000 0.000

**Space group**: C2/m



Which of them is most stable, and which least? Most stable: model x; least stable: model w.



Model w:
An optimized crystal structure of LiZrPd6, computed with PBE.

Cell: 3.920 5.659 5.659 Å, 90.01 90.00 90.00°
Fractional positions:
1 Li 0.500 0.000 0.000
2 Pd 0.000 0.247 0.247
3 Pd 0.000 0.753 0.247
4 Pd 0.500 0.500 0.000
5 Pd 0.500 0.000 0.500
6 Pd 0.000 0.753 0.753
7 Pd 0.000 0.247 0.753
8 Zr 0.500 0.500 0.500

**Space group**: P4/mmm



Model x:
An optimized crystal structure of LiZrPd6, computed with PBE.

Cell: 4.770 4.770 7.095 Å, 74.07 74.07 69.35°
Fractional positions:
1 Pd 0.630 0.630 0.079
2 Pd 0.951 0.472 0.697
3 Pd 0.472 0.951 0.697
4 Pd 0.370 0.370 0.921
5 Pd 0.049 0.528 0.303
6 Pd 0.528 0.049 0.303
7 Zr 0.000 0.000 0.000
8 Li 0.500 0.500 0.500

**Space group**: C2/m



Which of them is most stable, and which least? Most stable: model w; least stable: model x.



Model w:
An optimized crystal structure of Li2ZrPd, computed with PBE.

Cell: 2.872 2.872 10.161 Å, 81.87 81.87 60.00°
Fractional positions:
1 Li 0.901 0.901 0.296
2 Li 0.099 0.099 0.704
3 Pd 0.500 0.500 0.500
4 Zr 0.000 0.000 0.000

**Space group**: R-3m



Model x:
An optimized crystal structure of Li2ZrPd, computed with PBE.

Cell: 4.444 4.444 4.444 Å, 60.00 60.00 60.00°
Fractional positions:
1 Li 0.750 0.750 0.750
2 Zr 0.000 0.000 0.000
3 Li 0.250 0.250 0.250
4 Pd 0.500 0.500 0.500

**Space group**: Fm-3m



Which of them is most stable, and which least? Most stable: model w; least stable: model x.



Model w:
An optimized crystal structure of LiZr2Pd2, computed with PBE.

Cell: 7.702 7.702 3.273 Å, 90.00 90.00 90.00°
Fractional positions:
1 Pd 0.633 0.133 0.000
2 Pd 0.867 0.633 0.000
3 Zr 0.165 0.665 0.500
4 Zr 0.835 0.335 0.500
5 Li 0.000 0.000 0.000
6 Zr 0.335 0.165 0.500
7 Li 0.500 0.500 0.000
8 Zr 0.665 0.835 0.500
9 Pd 0.133 0.367 0.000
10 Pd 0.367 0.867 0.000

**Space group**: P4/mbm



Model x:
An optimized crystal structure of LiZr2Pd2, computed with PBE.

Cell: 8.106 8.106 2.993 Å, 90.00 90.00 90.00°
Fractional positions:
1 Zr 0.157 0.343 0.000
2 Pd 0.861 0.361 0.500
3 Zr 0.343 0.843 0.000
4 Pd 0.139 0.639 0.500
5 Pd 0.361 0.139 0.500
6 Li 0.000 0.000 0.000
7 Zr 0.843 0.657 0.000
8 Zr 0.657 0.157 0.000
9 Pd 0.639 0.861 0.500
10 Li 0.500 0.500 0.000

**Space group**: P4/mbm



Which of them is most stable, and which least? Most stable: model w; least stable: model x.



Model w:
An optimized crystal structure of Li3ZrPd6, computed with PBE.

Cell: 6.740 6.740 6.740 Å, 88.50 88.50 88.50°
Fractional positions:
1 Pd 0.323 0.800 0.225
2 Zr 0.500 0.500 0.500
3 Li 0.995 0.853 0.405
4 Li 0.147 0.595 0.005
5 Pd 0.542 0.647 0.875
6 Pd 0.458 0.353 0.125
7 Pd 0.353 0.125 0.458
8 Pd 0.200 0.775 0.677
9 Pd 0.875 0.542 0.647
10 Pd 0.125 0.458 0.353
11 Li 0.853 0.405 0.995
12 Pd 0.647 0.875 0.542
13 Li 0.595 0.005 0.147
14 Pd 0.800 0.225 0.323
15 Pd 0.775 0.677 0.200
16 Li 0.005 0.147 0.595
17 Pd 0.677 0.200 0.775
18 Pd 0.225 0.323 0.800
19 Li 0.405 0.995 0.853
20 Zr 0.000 0.000 0.000

**Space group**: R-3



Model x:
An optimized crystal structure of Li3ZrPd6, computed with PBE.

Cell: 4.214 7.883 9.171 Å, 100.83 90.00 90.00°
Fractional positions:
1 Pd 0.750 0.167 0.711
2 Pd 0.250 0.160 0.214
3 Zr 0.250 0.932 0.621
4 Li 0.250 0.748 0.977
5 Pd 0.750 0.937 0.088
6 Pd 0.750 0.736 0.478
7 Pd 0.250 0.614 0.691
8 Pd 0.250 0.463 0.104
9 Li 0.750 0.252 0.023
10 Li 0.250 0.546 0.397
11 Pd 0.750 0.840 0.786
12 Li 0.750 0.651 0.179
13 Pd 0.750 0.537 0.896
14 Zr 0.750 0.068 0.379
15 Li 0.750 0.454 0.603
16 Li 0.250 0.349 0.821
17 Pd 0.250 0.264 0.522
18 Pd 0.750 0.386 0.309
19 Pd 0.250 0.063 0.912
20 Pd 0.250 0.833 0.289

**Space group**: P2_1/m



Which of them is most stable, and which least? Most stable: model x; least stable: model w.



Model w:
An optimized crystal structure of Li2Pm, computed with PBE.

Cell: 3.610 3.610 6.201 Å, 106.92 106.92 90.00°
Site moments in Bohr magnetons follow the coordinates.
Fractional positions:
1 Li 0.307 0.307 0.614  0.00
2 Pm 0.000 0.000 0.000  0.11
3 Li 0.693 0.693 0.386  0.00

**Space group**: I4/mmm



Model x:
An optimized crystal structure of Li2Pm, computed with PBE.

Cell: 5.936 5.936 5.936 Å, 60.00 60.00 60.00°
Fractional positions:
1 Li 0.625 0.625 0.125
2 Li 0.125 0.625 0.625
3 Li 0.625 0.125 0.625
4 Pm 0.250 0.250 0.250
5 Li 0.625 0.625 0.625
6 Pm 0.000 0.000 0.000

**Space group**: Fd-3m



Model y:
An optimized crystal structure of Li2Pm, computed with PBE.

Cell: 3.387 3.385 8.277 Å, 78.43 78.37 59.97°
Fractional positions:
1 Li 0.062 0.807 0.206
2 Pm 0.282 0.026 0.553
3 Li 0.500 0.244 0.900

**Space group**: P-1



Which of them is most stable, and which least? Most stable: model x; least stable: model w.



Model w:
An optimized crystal structure of LiPmPr2, computed with PBE.

Cell: 3.698 3.698 9.314 Å, 90.00 90.00 90.00°
Fractional positions:
1 Pr 0.000 0.000 0.774
2 Pm 0.500 0.500 0.500
3 Pr 0.000 0.000 0.226
4 Li 0.500 0.500 0.000

**Space group**: P4/mmm



Model x:
An optimized crystal structure of LiPmPr2, computed with PBE.

Cell: 3.642 3.642 11.724 Å, 81.12 81.12 60.02°
Fractional positions:
1 Pr 0.253 0.253 0.241
2 Li 0.667 0.667 0.999
3 Pm 0.500 0.500 0.501
4 Pr 0.080 0.080 0.759

**Space group**: Cm



Model y:
An optimized crystal structure of LiPmPr2, computed with PBE.

Cell: 3.574 3.574 12.743 Å, 81.94 81.94 60.00°
Fractional positions:
1 Pm 0.500 0.500 0.500
2 Pr 0.088 0.088 0.735
3 Li 0.000 0.000 0.000
4 Pr 0.912 0.912 0.265

**Space group**: R-3m



Model z:
An optimized crystal structure of LiPmPr2, computed with PBE.

Cell: 3.598 3.598 12.090 Å, 90.00 90.00 120.00°
Fractional positions:
1 Pr 0.333 0.667 0.760
2 Pr 0.667 0.333 0.252
3 Li 0.667 0.333 0.524
4 Pm 0.000 0.000 0.008

**Space group**: P3m1



Which of them is most stable, and which least? Most stable: model w; least stable: model y.



Model w:
An optimized crystal structure of Li3Pm2Pt2, computed with PBE.

Cell: 4.104 5.540 7.157 Å, 98.58 90.00 111.74°
Fractional positions:
1 Li 0.691 0.381 0.886
2 Pt 0.898 0.797 0.332
3 Pm 0.381 0.763 0.642
4 Li 0.309 0.619 0.114
5 Pm 0.619 0.237 0.358
6 Li 0.000 0.000 0.000
7 Pt 0.102 0.203 0.668

**Space group**: C2/m



Model x:
An optimized crystal structure of Li3Pm2Pt2, computed with PBE.

Cell: 4.208 5.521 7.432 Å, 111.07 90.00 112.40°
Fractional positions:
1 Pm 0.139 0.277 0.785
2 Li 0.651 0.302 0.435
3 Pt 0.156 0.311 0.192
4 Pt 0.844 0.689 0.808
5 Li 0.349 0.698 0.565
6 Pm 0.861 0.723 0.215
7 Li 0.500 0.000 0.000

**Space group**: C2/m



Which of them is most stable, and which least? Most stable: model x; least stable: model w.



Model w:
An optimized crystal structure of Li2Pm3Pt3, computed with PBE.

Cell: 5.741 8.597 8.597 Å, 120.00 90.00 90.00°
Fractional positions:
1 Pt 0.750 0.379 0.379
2 Pm 0.750 0.717 0.717
3 Pm 0.750 0.283 0.000
4 Pt 0.250 0.379 0.000
5 Pt 0.750 0.000 0.621
6 Li 0.500 0.667 0.333
7 Pm 0.250 0.000 0.717
8 Pm 0.250 0.717 0.000
9 Pm 0.250 0.283 0.283
10 Li 0.000 0.667 0.333
11 Li 0.500 0.333 0.667
12 Pm 0.750 0.000 0.283
13 Pt 0.750 0.621 0.000
14 Pt 0.250 0.621 0.621
15 Pt 0.250 0.000 0.379
16 Li 0.000 0.333 0.667

**Space group**: P6_3/mcm



Model x:
An optimized crystal structure of Li2Pm3Pt3, computed with PBE.

Cell: 3.981 6.568 14.171 Å, 90.00 90.00 107.64°
Fractional positions:
1 Li 0.231 0.462 0.072
2 Pt 0.600 0.200 0.451
3 Pm 0.067 0.133 0.888
4 Pt 0.400 0.800 0.951
5 Pm 0.339 0.678 0.750
6 Li 0.769 0.538 0.572
7 Pm 0.661 0.322 0.250
8 Pt 0.600 0.200 0.049
9 Pt 0.338 0.677 0.250
10 Pm 0.933 0.867 0.388
11 Li 0.231 0.462 0.428
12 Pt 0.662 0.323 0.750
13 Pt 0.400 0.800 0.549
14 Li 0.769 0.538 0.928
15 Pm 0.067 0.133 0.612
16 Pm 0.933 0.867 0.112

**Space group**: Cmcm



Which of them is most stable, and which least? Most stable: model x; least stable: model w.



Model w:
An optimized crystal structure of Li2Pm2Pt, computed with PBE.

Cell: 4.609 4.961 5.953 Å, 65.44 67.23 90.00°
Fractional positions:
1 Pm 0.315 0.815 0.370
2 Li 0.242 0.500 0.000
3 Pt 0.000 0.000 0.000
4 Li 0.758 0.500 0.000
5 Pm 0.685 0.185 0.630

**Space group**: C2/m



Model x:
An optimized crystal structure of Li2Pm2Pt, computed with PBE.

Cell: 3.661 3.661 9.630 Å, 100.96 100.96 90.00°
Fractional positions:
1 Li 0.750 0.250 0.500
2 Pm 0.589 0.589 0.178
3 Li 0.250 0.750 0.500
4 Pt 0.000 0.000 0.000
5 Pm 0.411 0.411 0.822

**Space group**: I4/mmm



Which of them is most stable, and which least? Most stable: model w; least stable: model x.



Model w:
An optimized crystal structure of LiPm2Re, computed with PBE.

Cell: 3.147 3.147 11.654 Å, 82.24 82.24 60.00°
Fractional positions:
1 Re 0.000 0.000 0.000
2 Pm 0.079 0.079 0.762
3 Li 0.500 0.500 0.500
4 Pm 0.921 0.921 0.238

**Space group**: R-3m



Model x:
An optimized crystal structure of LiPm2Re, computed with PBE.

Cell: 3.528 3.528 8.214 Å, 90.00 90.00 90.00°
Fractional positions:
1 Pm 0.000 0.000 0.205
2 Re 0.500 0.500 0.000
3 Pm 0.000 0.000 0.795
4 Li 0.500 0.500 0.500

**Space group**: P4/mmm



Which of them is most stable, and which least? Most stable: model x; least stable: model w.